## LaBI2O (GGA-PBE)

Data for a relaxed structure of LaBI2O.

The space group is P4/mmm (No. 123) and the conventional cell measures 6.5228, 6.5228 and 4.2944 Å, with angles of 90.00, 90.00 and 90.00 degrees. Symmetry generates all atoms from La at (0.0000, 0.0000, 0.0000), B at (0.5000, 0.5000, 0.5000), I at (0.0000, 0.5000, 0.0000) and O at (0.0000, 0.0000, 0.5000).

The energy above the most stable polymorph in this dataset comes out at 0.000 eV/atom.

***

## Ga2FeNi7As2 (GGA-PBE)

Data for a relaxed structure of Ga2FeNi7As2.

The space group is I4/mmm (No. 139) and the conventional cell measures 3.4354, 3.4354 and 27.3764 Å, with angles of 90.00, 90.00 and 90.00 degrees. Symmetry generates all atoms from Ga at (0.0000, 0.0000, 0.1310), Fe at (0.0000, 0.0000, 0.5000), Ni at (0.0000, 0.0000, 0.0000), Ni at (0.0000, 0.0000, 0.2227), Ni at (0.0000, 0.5000, 0.0661) and As at (0.0000, 0.0000, 0.3076).

The value obtained for the formation energy is -0.93 eV/f.u.

***

## CaTbMgPd (GGA-PBE)

Data for a relaxed structure of CaTbMgPd.

The space group is F-43m (No. 216) and the conventional cell measures 7.3178, 7.3178 and 7.3178 Å, with angles of 90.00, 90.00 and 90.00 degrees. Symmetry generates all atoms from Ca at (0.0000, 0.0000, 0.0000), Tb at (0.0000, 0.0000, 0.5000), Mg at (0.2500, 0.2500, 0.7500) and Pd at (0.2500, 0.2500, 0.2500).

The value obtained for the formation energy is -1.36 eV/f.u.

***

## CsTlBr2 (GGA-PBE)

Data for a relaxed structure of CsTlBr2.

The space group is P4/mmm (No. 123) and the conventional cell measures 4.2036, 4.2036 and 8.4361 Å, with angles of 90.00, 90.00 and 90.00 degrees. Symmetry generates all atoms from Cs at (0.0000, 0.0000, 0.0000), Tl at (0.0000, 0.0000, 0.5000) and Br at (0.5000, 0.5000, 0.2656).

Its final energy is -2.9101 eV per atom.

***

## Mg2MnPb2 (GGA-PBE)

Data for a relaxed structure of Mg2MnPb2.

The space group is P4/mbm (No. 127) and the conventional cell measures 7.4241, 7.4241 and 4.5496 Å, with angles of 90.00, 90.00 and 90.00 degrees. Symmetry generates all atoms from Mg at (0.1589, 0.3411, 0.0000), Mn at (0.0000, 0.0000, 0.5000) and Pb at (0.1513, 0.6513, 0.5000).

The value obtained for the formation energy is 1.24 eV/f.u.

***

## LaSb2Rh (GGA-PBE)

Data for a relaxed structure of LaSb2Rh.

The space group is R-3m (No. 166, hexagonal axes) and the conventional cell measures 4.3581, 4.3581 and 18.2355 Å, with angles of 90.00, 90.00 and 120.00 degrees. Symmetry generates all atoms from La at (0.0000, 0.0000, 0.0000), Sb at (0.0000, 0.0000, 0.2266) and Rh at (0.0000, 0.0000, 0.5000).

Its final energy is -5.9313 eV per atom.

***

## Na3YGa (GGA-PBE)

Data for a relaxed structure of Na3YGa.

The space group is Pm-3m (No. 221) and the conventional cell measures 5.5100, 5.5100 and 5.5100 Å, with angles of 90.00, 90.00 and 90.00 degrees. Symmetry generates all atoms from Na at (0.0000, 0.0000, 0.5000), Y at (0.5000, 0.5000, 0.5000) and Ga at (0.0000, 0.0000, 0.0000).

The value obtained for the formation energy is 2.39 eV/f.u. The energy above the most stable polymorph in this dataset comes out at 0.000 eV/atom.

***

## Cs2NbHCl6 (GGA-PBE)

Data for a relaxed structure of Cs2NbHCl6.

The space group is Fm-3m (No. 225) and the conventional cell measures 10.7609, 10.7609 and 10.7609 Å, with angles of 90.00, 90.00 and 90.00 degrees. Symmetry generates all atoms from Cs at (0.2500, 0.2500, 0.2500), Nb at (0.0000, 0.0000, 0.0000), H at (0.0000, 0.0000, 0.5000) and Cl at (0.0000, 0.0000, 0.2269).

Its final energy is -3.8836 eV per atom.

***

## MgTcPdS2 (GGA-PBE)

Data for a relaxed structure of MgTcPdS2.

The space group is P4/mmm (No. 123) and the conventional cell measures 4.6688, 4.6688 and 5.0293 Å, with angles of 90.00, 90.00 and 90.00 degrees. Symmetry generates all atoms from Mg at (0.0000, 0.0000, 0.0000), Tc at (0.5000, 0.5000, 0.0000), Pd at (0.5000, 0.5000, 0.5000) and S at (0.0000, 0.5000, 0.5000).

Its final energy is -4.3522 eV per atom.

***

## Pm2HoTm (GGA-PBE)

Data for a relaxed structure of Pm2HoTm.

The space group is P4/mmm (No. 123) and the conventional cell measures 3.5864, 3.5864 and 10.0718 Å, with angles of 90.00, 90.00 and 90.00 degrees. Symmetry generates all atoms from Pm at (0.0000, 0.0000, 0.2486), Ho at (0.5000, 0.5000, 0.5000) and Tm at (0.5000, 0.5000, 0.0000).

The value obtained for the formation energy is 0.09 eV/f.u. The energy above the most stable polymorph in this dataset comes out at 0.006 eV/atom.

***

## Ac2Zn3Ga4Ni (GGA-PBE)

Data for a relaxed structure of Ac2Zn3Ga4Ni.

The space group is P-4m2 (No. 115) and the conventional cell measures 4.4369, 4.4369 and 10.4807 Å, with angles of 90.00, 90.00 and 90.00 degrees. Symmetry generates all atoms from Ac at (0.0000, 0.5000, 0.2406), Zn at (0.0000, 0.0000, 0.0000), Zn at (0.0000, 0.5000, 0.6353), Ga at (0.0000, 0.0000, 0.5000), Ga at (0.0000, 0.5000, 0.8838), Ga at (0.5000, 0.5000, 0.5000) and Ni at (0.5000, 0.5000, 0.0000).

The value obtained for the formation energy is -4.53 eV/f.u.

***

## TlTc3Pb (GGA-PBE)

Data for a relaxed structure of TlTc3Pb.

The space group is Pm-3m (No. 221) and the conventional cell measures 5.1569, 5.1569 and 5.1569 Å, with angles of 90.00, 90.00 and 90.00 degrees. Symmetry generates all atoms from Tl at (0.0000, 0.0000, 0.0000), Tc at (0.0000, 0.0000, 0.5000) and Pb at (0.5000, 0.5000, 0.5000).

The value obtained for the formation energy is 11.15 eV/f.u. The energy above the most stable polymorph in this dataset comes out at 0.000 eV/atom.

***

Total moment values (in μB per formula unit) by entry order: 0.19, 3.89, 0.00, 0.00, 3.80, 0.00, 0.40, 2.00, 3.57, 0.00, 0.00, 8.74.
Mass density values (in g/cm3) by entry order: 3.8, 7.8, 5.6, 5.5, 6.9, 8.1, 2.3, 3.1, 4.4, 8.0, 8.0, 8.5.